# SCAN MgTlMo2, PBEsol geometry
data_MgTlMo2
_symmetry_space_group_name_H-M 'P 4/m m m'
_symmetry_Int_Tables_number 123
_symmetry_space_group_name_Hall '-P 4 2'
_cell_length_a 3.892
_cell_length_b 3.892
_cell_length_c 4.538
_cell_angle_alpha 90.00
_cell_angle_beta 90.00
_cell_angle_gamma 90.00
loop_
_atom_site_label
_atom_site_type_symbol
_atom_site_fract_x
_atom_site_fract_y
_atom_site_fract_z
Mg1 Mg 0.000 0.000 0.000
Tl1 Tl 0.500 0.500 0.000
Mo1 Mo 0.000 0.500 0.500
# - Fermi-level density of states (states/eV/cell) = 2.9
# - magnetization (μB per cell) = 0.00
# - ΔE to the lowest computed polymorph (meV per atom) = 0